Material: NaLa2FeO5
Method: DFT, PBE+U
State: relaxed

Structure (CIF):
```
data_NaLa2FeO5
_cell_length_a 6.8988
_cell_length_b 6.8988
_cell_length_c 5.7135
_cell_angle_alpha 90.00
_cell_angle_beta 90.00
_cell_angle_gamma 90.00
_space_group_name_H-M_alt 'P 1'
_space_group_IT_number 1
loop_
_space_group_symop_operation_xyz
'x,y,z'
loop_
_atom_site_label
_atom_site_type_symbol
_atom_site_fract_x
_atom_site_fract_y
_atom_site_fract_z
Na1 Na 0.0000 0.0000 0.0000
Na2 Na 0.5000 0.5000 0.0000
La1 La 0.1807 0.3193 0.5000
La2 La 0.3193 0.8193 0.5000
La3 La 0.6807 0.1807 0.5000
La4 La 0.8193 0.6807 0.5000
Fe1 Fe 0.0000 0.5000 0.0000
Fe2 Fe 0.5000 0.0000 0.0000
O1 O 0.0000 0.0000 0.5000
O2 O 0.1307 0.6307 0.2363
O3 O 0.1307 0.6307 0.7637
O4 O 0.3693 0.1307 0.2363
O5 O 0.3693 0.1307 0.7637
O6 O 0.5000 0.5000 0.5000
O7 O 0.6307 0.8693 0.2363
O8 O 0.6307 0.8693 0.7637
O9 O 0.8693 0.3693 0.2363
O10 O 0.8693 0.3693 0.7637
```

Output
SG: P4/mbm, No. 127
Total magnetic moment, Bohr magnetons per cell: 5.96
Calculated total energy, eV/atom: -7.09
Crystal system: tetragonal